Record 1
A plane-wave DFT calculation with PBE-GGA was carried out for a relaxed Nd3Al crystal. Values from VASP.

Structure (Quantum ESPRESSO input):
```
&SYSTEM
  ibrav = 0, nat = 4, ntyp = 2
/
ATOMIC_SPECIES
Nd 144.24 Nd.upf
Al 26.98 Al.upf
ATOMIC_POSITIONS crystal
Nd 0.0000 0.5000 0.5000
Nd 0.5000 0.0000 0.5000
Nd 0.5000 0.5000 0.0000
Al 0.0000 0.0000 0.0000
CELL_PARAMETERS angstrom
4.8965 0.0000 0.0000
0.0000 4.8965 0.0000
0.0000 0.0000 4.8965
```

**Energy above the lowest structure with this stoichiometry**: 12 meV per atom
**Space-group type**: Pm-3m
**Crystal system**: cubic
**Formation energy from the elements**: -0.166 eV per atom
**Magnetization**: 0.000 μB per cell


Record 2
A plane-wave DFT calculation with PBE-GGA was carried out for a relaxed Nd3Al crystal. Values from VASP.

Structure (Quantum ESPRESSO input):
```
&SYSTEM
  ibrav = 0, nat = 4, ntyp = 2
/
ATOMIC_SPECIES
Nd 144.24 Nd.upf
Al 26.98 Al.upf
ATOMIC_POSITIONS crystal
Nd 0.0000 0.5000 0.4676
Nd 0.5000 0.5000 0.1620
Nd 0.5000 0.0000 0.7277
Al 0.0000 0.0000 0.9761
CELL_PARAMETERS angstrom
3.4545 0.0000 0.0000
0.0000 3.5229 0.0000
0.0000 0.0000 10.6094
```

**Energy above the lowest structure with this stoichiometry**: 265 meV per atom
**Space-group type**: Pmm2
**Crystal system**: orthorhombic
**Formation energy from the elements**: 0.086 eV per atom
**Magnetization**: 0.000 μB per cell


Record 3
A plane-wave DFT calculation with PBE-GGA was carried out for a relaxed Nd5Al crystal. Values from VASP.

Structure (Quantum ESPRESSO input):
```
&SYSTEM
  ibrav = 0, nat = 6, ntyp = 2
/
ATOMIC_SPECIES
Nd 144.24 Nd.upf
Al 26.98 Al.upf
ATOMIC_POSITIONS crystal
Nd 0.5000 0.6544 0.3087
Nd 0.0000 0.8443 0.6885
Nd 0.5000 0.0000 0.0000
Nd 0.0000 0.1557 0.3115
Nd 0.5000 0.3456 0.6913
Al 0.0000 0.5000 0.0000
CELL_PARAMETERS angstrom
5.8315 0.0000 0.0000
0.0000 5.7706 0.0000
0.0000 -2.8853 5.5974
```

**Energy above the lowest structure with this stoichiometry**: 60 meV per atom
**Space-group type**: Cmmm
**Crystal system**: orthorhombic
**Formation energy from the elements**: -0.014 eV per atom
**Magnetization**: 0.000 μB per cell